Density functional theory data (PBE with a Hubbard U) for RbVHF6 after structural relaxation.

Lattice parameters (Å, degrees): 4.964 5.492 5.684 87.43 89.65 69.62
Space group P1 (No. 1)
Symmetry-distinct sites (fractional):
Rb  0.000  0.000  0.000 (multiplicity 1)
V  0.754  0.645  0.520 (multiplicity 1)
H  0.326  0.411  0.661 (multiplicity 1)
F  0.097  0.428  0.734 (multiplicity 1)
F  0.477  0.836  0.309 (multiplicity 1)
F  0.552  0.383  0.602 (multiplicity 1)
F  0.583  0.790  0.790 (multiplicity 1)
F  0.944  0.428  0.295 (multiplicity 1)
F  0.946  0.874  0.489 (multiplicity 1)

## Properties
Total energy   -5.1010 eV per atom
Size of the total moment   1.00 μB per cell